K2Pu3MnO12: relaxed, PBE+U.

a = 7.463 Å, b = 7.463 Å, c = 7.463 Å
α = 63.65°, β = 63.65°, γ = 63.65°
Fractional coordinates of all 18 atoms:
1 K 0.129 0.129 0.129
2 K 0.871 0.871 0.871
3 Pu 0.000 0.500 0.500
4 Pu 0.500 0.000 0.500
5 Pu 0.500 0.500 0.000
6 Mn 0.500 0.500 0.500
7 O 0.174 0.568 0.568
8 O 0.181 0.181 0.568
9 O 0.181 0.568 0.181
10 O 0.432 0.432 0.826
11 O 0.432 0.819 0.819
12 O 0.432 0.826 0.432
13 O 0.568 0.174 0.568
14 O 0.568 0.181 0.181
15 O 0.568 0.568 0.174
16 O 0.819 0.432 0.819
17 O 0.819 0.819 0.432
18 O 0.826 0.432 0.432

Summary:
* crystal system: trigonal
* uncorrected energy: -152.9 eV for the cell shown
* D(E_F): 2.84 states/eV/f.u.
* size of the total moment: 0.50 μB/atom